Computed, not measured: an optimized crystal structure of NiIr3Ru at the PBE level of DFT.

Cell: 4.657 4.657 4.657 Å, 90.00 90.00 90.00°
Space group Pm-3m (No. 221)
Inequivalent atoms, fractional coordinates:
Ni: 0.000 0.000 0.000
Ir: 0.000 0.500 0.500
Ru: 0.500 0.500 0.500

---

Computed, not measured: an optimized crystal structure of NiIr3Ru2 at the PBE level of DFT.

Cell: 5.388 3.796 8.108 Å, 90.00 90.32 90.00°
Space group P2_1/m (No. 11)
Inequivalent atoms, fractional coordinates:
Ni: 0.127 0.250 0.252
Ir: 0.121 0.250 0.914
Ir: 0.372 0.750 0.420
Ir: 0.376 0.750 0.752
Ru: 0.121 0.250 0.583
Ru: 0.376 0.750 0.077

---

no.,DFT formation energy (eV per atom)
1,2.09
2,0.00